This record from Alexandria via LeMat-Bulk describes an optimized crystal structure of Pr2Sb2Pt15. The functional is PBE.

Its density of states at the Fermi level is 43.87 states/eV/cell. The uncorrected formation energy is -0.48 eV per atom.

The space group is R-3m (No. 166, hexagonal axes) and the conventional cell measures 9.4558, 9.4558 and 13.5883 Å, with angles of 90.00, 90.00 and 120.00 degrees. The asymmetric unit holds Pr at (0.0000, 0.0000, 0.1455), Sb at (0.0000, 0.0000, 0.3949), Pt at (0.0000, 0.3326, 0.5000), Pt at (0.0000, 0.5000, 0.0000) and Pt at (0.0056, 0.5028, 0.6665).